No. 1
! GGA-PBE Ca2AgBr2, relaxed; values from VASP
! excess energy over the best structure of this formula in the dataset: 0.000 eV/atom
! energy: -30.31 eV per cell
! formation energy without anion corrections: -0.99 eV/atom
&SYSTEM
  ibrav = 0, nat = 10, ntyp = 3
/
ATOMIC_SPECIES
Ca 40.08 Ca.upf
Ag 107.87 Ag.upf
Br 79.90 Br.upf
ATOMIC_POSITIONS crystal
Ca 0.000 0.000 0.127
Ca 0.000 0.000 0.873
Ca 0.500 0.500 0.373
Ca 0.500 0.500 0.627
Ag 0.000 0.000 0.500
Ag 0.500 0.500 0.000
Br 0.000 0.500 0.250
Br 0.000 0.500 0.750
Br 0.500 0.000 0.250
Br 0.500 0.000 0.750
CELL_PARAMETERS angstrom
4.779 0.000 0.000
0.000 4.779 0.000
0.000 0.000 14.132

No. 2
! GGA-PBE PmSmPu, relaxed; values from VASP
! ΔH_f (0 K): 0.27 eV/atom
! excess energy over the best structure of this formula in the dataset: 0.145 eV/atom
! energy: -91.94 eV per cell
&SYSTEM
  ibrav = 0, nat = 12, ntyp = 3
/
ATOMIC_SPECIES
Pm 145.00 Pm.upf
Sm 150.36 Sm.upf
Pu 244.00 Pu.upf
ATOMIC_POSITIONS crystal
Pm 0.120 0.000 0.338
Pm 0.380 0.500 0.662
Pm 0.620 0.500 0.338
Pm 0.880 0.000 0.662
Sm 0.123 0.500 0.673
Sm 0.377 0.000 0.327
Sm 0.623 0.000 0.673
Sm 0.877 0.500 0.327
Pu 0.130 0.000 0.993
Pu 0.370 0.500 0.007
Pu 0.630 0.500 0.993
Pu 0.870 0.000 0.007
CELL_PARAMETERS angstrom
13.069 0.000 0.000
0.000 3.431 0.000
-4.322 0.000 8.685

No. 3
! GGA-PBE ReTcAu, relaxed; values from VASP
! ΔH_f (0 K): 0.17 eV/atom
! excess energy over the best structure of this formula in the dataset: 0.000 eV/atom
! energy: -25.59 eV per cell
&SYSTEM
  ibrav = 0, nat = 3, ntyp = 3
/
ATOMIC_SPECIES
Re 186.21 Re.upf
Tc 98.00 Tc.upf
Au 196.97 Au.upf
ATOMIC_POSITIONS crystal
Re 0.000 0.000 0.000
Tc 0.333 0.667 0.293
Au 0.667 0.333 0.645
CELL_PARAMETERS angstrom
2.794 0.000 0.000
-1.397 2.420 0.000
0.000 0.000 7.028

No. 4
! GGA-PBE Ta2CdTcPt, relaxed; values from VASP
! ΔH_f (0 K): 2.28 eV/atom
! energy: -29.63 eV per cell
&SYSTEM
  ibrav = 0, nat = 5, ntyp = 4
/
ATOMIC_SPECIES
Ta 180.95 Ta.upf
Cd 112.41 Cd.upf
Tc 98.00 Tc.upf
Pt 195.08 Pt.upf
ATOMIC_POSITIONS crystal
Ta 0.000 0.500 0.000
Ta 0.500 0.000 0.000
Cd 0.000 0.000 0.000
Tc 0.000 0.000 0.500
Pt 0.500 0.500 0.500
CELL_PARAMETERS angstrom
4.874 0.000 0.000
0.000 4.874 0.000
0.000 0.000 4.716

No. 5
! GGA-PBE YHfTl2, relaxed; values from VASP
! ΔH_f (0 K): -0.08 eV/atom
! excess energy over the best structure of this formula in the dataset: 0.000 eV/atom
! energy: -21.48 eV per cell
&SYSTEM
  ibrav = 0, nat = 4, ntyp = 3
/
ATOMIC_SPECIES
Y 88.91 Y.upf
Hf 178.49 Hf.upf
Tl 204.38 Tl.upf
ATOMIC_POSITIONS crystal
Y 0.000 0.000 0.000
Hf 0.000 0.000 0.500
Tl 0.500 0.500 0.261
Tl 0.500 0.500 0.739
CELL_PARAMETERS angstrom
3.324 0.000 0.000
0.000 3.324 0.000
0.000 0.000 8.897

No. 6
! GGA-PBE K4Np3CdTe8, relaxed; values from VASP
! energy: -82.40 eV per cell
! formation energy without anion corrections: -0.82 eV/atom
&SYSTEM
  ibrav = 0, nat = 16, ntyp = 4
/
ATOMIC_SPECIES
K 39.10 K.upf
Np 237.00 Np.upf
Cd 112.41 Cd.upf
Te 127.60 Te.upf
ATOMIC_POSITIONS crystal
K 0.000 0.000 0.000
K 0.000 0.500 0.500
K 0.500 0.000 0.500
K 0.500 0.500 0.000
Np 0.000 0.000 0.500
Np 0.000 0.500 0.000
Np 0.500 0.000 0.000
Cd 0.500 0.500 0.500
Te 0.235 0.735 0.735
Te 0.236 0.236 0.236
Te 0.265 0.265 0.765
Te 0.265 0.765 0.265
Te 0.735 0.235 0.735
Te 0.735 0.735 0.235
Te 0.764 0.764 0.764
Te 0.765 0.265 0.265
CELL_PARAMETERS angstrom
4.556 2.630 8.175
-4.556 2.630 8.175
0.000 -5.260 8.175